5
Lattice="-1.262 -0.043 3.441 3.261 -1.185 1.181 2.219 7.006 0.902" Properties=species:S:1:pos:R:3 comment="CoPtSN2 (GGA-PBE, optimized geometry)" energy_ev_per_atom=-5.427 dos_at_fermi_per_ev_fu=6.3 pbc="T T T"
S 1.110 3.503 0.451
Co 2.109 2.889 2.762
Pt 0.000 0.000 0.000
N 1.631 -0.593 0.591
N -0.631 -0.022 1.721